Entry 1:
Entry from Alexandria: CsSr3Sc after structural relaxation (PBE).

abc: 6.2641 6.2641 6.2641
angles: 90.00 90.00 90.00
Closest atoms and distances in Å follow each position.
Space group Pm-3m (No. 221)
Unique sites:
Cs: 0.0000 0.0000 0.0000 (multiplicity 1)  6 Sr 3.13
Sr: 0.0000 0.0000 0.5000 (multiplicity 3)  2 Cs 3.13
Sc: 0.5000 0.5000 0.5000 (multiplicity 1)  12 Sr 4.43

The value obtained for the density of states at the Fermi level is 1.99 states/eV/atom. As for the calculated density: 2.977 g cm⁻³. The calculation puts the energy of formation at 1.11 eV/atom. The calculation puts the calculated volume at 245.8 Å³ per cell.

=====

Entry 2:
Entry from Alexandria: CsSrSc2 after structural relaxation (PBE).

abc: 8.6066 8.6066 8.6066
angles: 90.00 90.00 90.00
Closest atoms and distances in Å follow each position.
Space group Fm-3m (No. 225)
Unique sites:
Cs: 0.0000 0.0000 0.0000 (multiplicity 4)  8 Sc 3.73
Sr: 0.0000 0.0000 0.5000 (multiplicity 4)  8 Sc 3.73
Sc: 0.2500 0.2500 0.2500 (multiplicity 8)  4 Sr 3.73, 4 Cs 3.73

The value obtained for the density of states at the Fermi level is 1.52 states/eV/atom. As for the calculated density: 3.234 g cm⁻³. Its polymorph energy (0 for the lowest one) is 0.204 eV/atom. The calculation puts the energy of formation at 0.84 eV/atom. The calculation puts the calculated volume at 637.5 Å³ per cell.

=====

Entry 3:
Entry from Alexandria: Cs2SrSc2 after structural relaxation (PBE).

abc: 11.0243 11.0243 3.9029
angles: 90.00 90.00 90.00
Closest atoms and distances in Å follow each position.
Space group P4/mbm (No. 127)
Unique sites:
Cs: 0.1230 0.3770 0.0000 (multiplicity 4)  6 Sc 3.60-3.95, 3 Cs 3.84-3.90
Sr: 0.0000 0.0000 0.0000 (multiplicity 2)  2 Sr 3.90
Sc: 0.1829 0.6829 0.5000 (multiplicity 4)  6 Cs 3.60-3.95, 2 Sc 3.90

The value obtained for the density of states at the Fermi level is 0.77 states/eV/atom. As for the calculated density: 3.104 g cm⁻³. The calculation puts the energy of formation at 0.93 eV/atom. The calculation puts the calculated volume at 474.3 Å³ per cell.

=====

Entry 4:
Entry from Alexandria: CsSrSc2 after structural relaxation (PBE).

abc: 9.3994 9.3994 6.7347
angles: 90.00 90.00 90.00
Closest atoms and distances in Å follow each position.
Space group I-42d (No. 122)
Unique sites:
Cs: 0.0000 0.0000 0.0000 (multiplicity 4)  4 Sc 3.28, 2 Sr 3.37
Sr: 0.0000 0.0000 0.5000 (multiplicity 4)  2 Cs 3.37, 4 Sc 3.59
Sc: 0.2262 0.7500 0.1250 (multiplicity 8)  2 Cs 3.28, 2 Sc 3.40, 2 Sr 3.59

The value obtained for the density of states at the Fermi level is 1.11 states/eV/atom. As for the calculated density: 3.465 g cm⁻³. Its polymorph energy (0 for the lowest one) is 0.310 eV/atom. The calculation puts the energy of formation at 0.95 eV/atom. The calculation puts the calculated volume at 595.0 Å³ per cell.

=====

Entry 5:
Entry from Alexandria: CsSc2Ta after structural relaxation (PBE).

abc: 7.1393 7.1393 14.2811
angles: 90.00 90.00 90.00
Closest atoms and distances in Å follow each position.
Space group I4_1/amd (No. 141, origin choice 2)
Unique sites:
Cs: 0.0000 0.2500 0.3750 (multiplicity 4)  8 Sc 4.37
Sc: 0.0000 0.0000 0.0000 (multiplicity 8)  2 Ta 2.52
Ta: 0.0000 0.2500 0.8750 (multiplicity 4)  4 Sc 2.52

The value obtained for the density of states at the Fermi level is 2.04 states/eV/atom. As for the calculated density: 3.684 g cm⁻³. Its polymorph energy (0 for the lowest one) is 0.911 eV/atom. The calculation puts the energy of formation at 1.48 eV/atom. The calculation puts the calculated volume at 727.9 Å³ per cell.

=====

Entry 6:
Entry from Alexandria: Cs2Sc2Ta after structural relaxation (PBE).

abc: 9.1672 9.1672 3.4943
angles: 90.00 90.00 90.00
Closest atoms and distances in Å follow each position.
Space group P4/mbm (No. 127)
Unique sites:
Cs: 0.1289 0.3711 0.0000 (multiplicity 4)  2 Sc 3.01, 1 Cs 3.34
Sc: 0.1825 0.6825 0.5000 (multiplicity 4)  2 Cs 3.01, 2 Ta 3.36
Ta: 0.0000 0.0000 0.5000 (multiplicity 2)  4 Sc 3.36, 2 Ta 3.49

The value obtained for the density of states at the Fermi level is 1.86 states/eV/atom. As for the calculated density: 6.069 g cm⁻³. The calculation puts the energy of formation at 1.76 eV/atom. The calculation puts the calculated volume at 293.7 Å³ per cell.